# 1
Computed, not measured: a relaxed structure of Cs2PdBr5 at the PBE-GGA level of DFT.

Offset from the most stable computed form: 0.00 eV per formula unit
Space-group type: P4/mmm (123)
Spin magnetization: 0.0 μB/f.u.
Formation energy from raw total energies: -1.097 eV/atom

Geometry as CIF:
```
data_Cs2PdBr5
_cell_length_a 5.414
_cell_length_b 7.686
_cell_length_c 7.686
_cell_angle_alpha 90.00
_cell_angle_beta 90.00
_cell_angle_gamma 90.00
_space_group_name_H-M_alt 'P 1'
_space_group_IT_number 1
loop_
_space_group_symop_operation_xyz
'x,y,z'
loop_
_atom_site_label
_atom_site_fract_x
_atom_site_fract_y
_atom_site_fract_z
Cs1 0.500 0.000 0.500
Br1 0.000 0.769 0.231
Cs2 0.500 0.500 0.000
Br2 0.500 0.000 0.000
Br3 0.000 0.231 0.231
Br4 0.000 0.769 0.769
Pd1 0.000 0.000 0.000
Br5 0.000 0.231 0.769
```



# 2
Computed, not measured: a relaxed structure of Cs2PdBr at the PBE-GGA level of DFT.

Offset from the most stable computed form: 0.13 eV per formula unit
Space-group type: I-42d (122)
Spin magnetization: 0.0 μB/f.u.
Formation energy from raw total energies: -0.471 eV/atom

Geometry as CIF:
```
data_Cs2PdBr
_cell_length_a 7.750
_cell_length_b 7.750
_cell_length_c 9.571
_cell_angle_alpha 66.12
_cell_angle_beta 66.12
_cell_angle_gamma 90.00
_space_group_name_H-M_alt 'P 1'
_space_group_IT_number 1
loop_
_space_group_symop_operation_xyz
'x,y,z'
loop_
_atom_site_label
_atom_site_fract_x
_atom_site_fract_y
_atom_site_fract_z
Br1 0.500 0.500 0.000
Pd1 0.000 0.000 0.000
Cs1 0.875 0.910 0.750
Cs2 0.375 0.340 0.750
Br2 0.250 0.750 0.500
Cs3 0.660 0.125 0.250
Pd2 0.750 0.250 0.500
Cs4 0.090 0.625 0.250
```



# 3
Computed, not measured: a relaxed structure of Cs3Pd2Br6 at the PBE-GGA level of DFT.

Space-group type: I4/mmm (139)
Spin magnetization: 0.6 μB/f.u.
Formation energy from raw total energies: -1.032 eV/atom

Geometry as CIF:
```
data_Cs3Pd2Br6
_cell_length_a 5.175
_cell_length_b 5.175
_cell_length_c 15.541
_cell_angle_alpha 99.58
_cell_angle_beta 99.58
_cell_angle_gamma 90.00
_space_group_name_H-M_alt 'P 1'
_space_group_IT_number 1
loop_
_space_group_symop_operation_xyz
'x,y,z'
loop_
_atom_site_label
_atom_site_fract_x
_atom_site_fract_y
_atom_site_fract_z
Br1 0.305 0.305 0.610
Br2 0.913 0.413 0.826
Cs1 0.182 0.182 0.364
Pd1 0.602 0.602 0.204
Pd2 0.398 0.398 0.796
Br3 0.695 0.695 0.390
Cs2 0.818 0.818 0.636
Br4 0.413 0.913 0.826
Cs3 0.000 0.000 0.000
Br5 0.087 0.587 0.174
Br6 0.587 0.087 0.174
```



# 4
Computed, not measured: a relaxed structure of Cs2PdBr at the PBE-GGA level of DFT.

Offset from the most stable computed form: 0.00 eV per formula unit
Space-group type: Fm-3m (225)
Spin magnetization: 0.9 μB/f.u.
Formation energy from raw total energies: -0.504 eV/atom

Geometry as CIF:
```
data_Cs2PdBr
_cell_length_a 6.059
_cell_length_b 6.059
_cell_length_c 6.059
_cell_angle_alpha 60.00
_cell_angle_beta 60.00
_cell_angle_gamma 60.00
_space_group_name_H-M_alt 'P 1'
_space_group_IT_number 1
loop_
_space_group_symop_operation_xyz
'x,y,z'
loop_
_atom_site_label
_atom_site_fract_x
_atom_site_fract_y
_atom_site_fract_z
Cs1 0.250 0.250 0.250
Cs2 0.750 0.750 0.750
Pd1 0.500 0.500 0.500
Br1 0.000 0.000 0.000
```



# 5
Computed, not measured: a relaxed structure of CsPdBr at the PBE-GGA level of DFT.

Offset from the most stable computed form: 0.45 eV per formula unit
Space-group type: Imma (74)
Spin magnetization: 0.0 μB/f.u.
Formation energy from raw total energies: -0.531 eV/atom

Geometry as CIF:
```
data_CsPdBr
_cell_length_a 10.747
_cell_length_b 9.769
_cell_length_c 5.036
_cell_angle_alpha 90.00
_cell_angle_beta 90.00
_cell_angle_gamma 90.00
_space_group_name_H-M_alt 'P 1'
_space_group_IT_number 1
loop_
_space_group_symop_operation_xyz
'x,y,z'
loop_
_atom_site_label
_atom_site_fract_x
_atom_site_fract_y
_atom_site_fract_z
Br1 0.000 0.000 0.000
Pd1 0.000 0.250 0.110
Cs1 0.750 0.750 0.250
Pd2 0.000 0.750 0.890
Cs2 0.750 0.250 0.750
Br2 0.500 0.500 0.500
Pd3 0.500 0.250 0.390
Pd4 0.500 0.750 0.610
Cs3 0.250 0.750 0.250
Br3 0.000 0.500 0.000
Cs4 0.250 0.250 0.750
Br4 0.500 0.000 0.500
```



# 6
Computed, not measured: a relaxed structure of CsPd4Br7 at the PBE-GGA level of DFT.

Space-group type: Pmn2_1 (31)
Spin magnetization: 0.0 μB/f.u.
Formation energy from raw total energies: -0.441 eV/atom

Geometry as CIF:
```
data_CsPd4Br7
_cell_length_a 5.263
_cell_length_b 8.428
_cell_length_c 18.277
_cell_angle_alpha 90.00
_cell_angle_beta 90.00
_cell_angle_gamma 90.00
_space_group_name_H-M_alt 'P 1'
_space_group_IT_number 1
loop_
_space_group_symop_operation_xyz
'x,y,z'
loop_
_atom_site_label
_atom_site_fract_x
_atom_site_fract_y
_atom_site_fract_z
Cs1 0.391 0.042 0.000
Cs2 0.891 0.958 0.500
Br1 0.299 0.518 0.500
Br2 0.390 0.348 0.862
Pd1 0.611 0.601 0.112
Br3 0.420 0.730 0.225
Pd2 0.425 0.258 0.733
Br4 0.887 0.844 0.896
Pd3 0.425 0.258 0.267
Br5 0.420 0.730 0.775
Br6 0.387 0.156 0.604
Br7 0.387 0.156 0.396
Pd4 0.925 0.742 0.233
Br8 0.920 0.270 0.275
Br9 0.887 0.844 0.104
Pd5 0.111 0.399 0.612
Br10 0.390 0.348 0.138
Pd6 0.925 0.742 0.767
Pd7 0.111 0.399 0.388
Br11 0.890 0.652 0.638
Pd8 0.611 0.601 0.888
Br12 0.799 0.482 0.000
Br13 0.890 0.652 0.362
Br14 0.920 0.270 0.725
```